[1]
A geometry-optimized TbNp2Te2S2 structure, computed with PBE.

Cell: 5.104 5.104 15.670 Å, 90.00 90.00 90.00°
Space group I4/mmm (No. 139)
Asymmetric unit:
Tb  0.000  0.000  0.000 [2 per cell]
Np  0.000  0.000  0.388 [4 per cell]
Te  0.000  0.000  0.190 [4 per cell]
S  0.000  0.500  0.000 [4 per cell]

Computed properties:
E = -0.2719 Ha/atom
Formation energy from raw total energies = -961.8 meV/atom
Magnetic moment = 17.82 μB per cell
Crystal system = tetragonal
N(E_F) = 41.727 states/eV/cell


[2]
A geometry-optimized TbNp3Tl4S8 structure, computed with PBE.

Cell: 8.1246 8.1246 22.5277 Å, 90.00 90.00 120.00°
Space group R-3m (No. 166, hexagonal axes)
Asymmetric unit:
Tb  0.0000  0.0000  0.0000 [3 per cell]
Np  0.0000  0.5000  0.0000 [9 per cell]
Tl  0.0000  0.0000  0.5000 [3 per cell]
Tl  0.0000  0.5000  0.5000 [9 per cell]
S  0.0000  0.0000  0.2696 [6 per cell]
S  0.0007  0.5003  0.2680 [18 per cell]

Computed properties:
E = -0.2391 Ha/atom
Formation energy from raw total energies = -1136.0 meV/atom
Magnetic moment = 36.00 μB per cell
Crystal system = trigonal
N(E_F) = 79.381 states/eV/cell


[3]
A geometry-optimized Tb3NpTl3S8 structure, computed with PBE.

Cell: 8.0641 8.0641 22.7072 Å, 90.00 90.00 120.00°
Space group R-3m (No. 166, hexagonal axes)
Asymmetric unit:
Tb  0.0000  0.5000  0.0000 [9 per cell]
Np  0.0000  0.0000  0.0000 [3 per cell]
Tl  0.0000  0.5000  0.5000 [9 per cell]
S  0.0000  0.0000  0.2675 [6 per cell]
S  0.0074  0.5037  0.7312 [18 per cell]

Computed properties:
E = -0.2171 Ha/atom
Formation energy from raw total energies = -1443.3 meV/atom
Magnetic moment = 9.00 μB per cell
Crystal system = trigonal
N(E_F) = 13.065 states/eV/cell